KScCuSe3 | PBE-GGA | relaxed

```
KScCuSe3
1.0
-2.778 -4.570 7.264
0.127 -3.287 -2.019
9.595 0.737 -0.596
Cu K Sc Se
2 2 2 6
Direct
0.584 0.250 0.097 Cu
0.416 0.750 0.903 Cu
0.287 0.750 0.260 K
0.713 0.250 0.740 K
0.827 0.750 0.354 Sc
0.173 0.250 0.646 Sc
0.713 0.750 0.038 Se
0.034 0.250 0.342 Se
0.620 0.250 0.358 Se
0.380 0.750 0.642 Se
0.966 0.750 0.658 Se
0.287 0.250 0.962 Se
```

=====

KSc3Cu2Se6 | PBE-GGA | relaxed

```
KSc3Cu2Se6
1.0
-4.504 5.604 -4.476
-6.579 5.196 -1.203
7.349 4.076 5.167
Cu K Sc Se
2 1 3 6
Direct
0.281 0.281 0.085 Cu
0.719 0.719 0.915 Cu
0.000 0.000 0.000 K
0.284 0.284 0.364 Sc
0.000 0.000 0.500 Sc
0.716 0.716 0.636 Sc
0.698 0.698 0.147 Se
0.427 0.427 0.296 Se
0.142 0.142 0.430 Se
0.858 0.858 0.570 Se
0.573 0.573 0.704 Se
0.302 0.302 0.853 Se
```

=====

K2CuSe2 | PBE-GGA | relaxed

```
K2CuSe2
1.0
2.319 1.557 2.464
3.041 -4.649 -2.740
3.121 3.157 -4.928
Cu K Se
1 2 2
Direct
0.500 0.000 0.000 Cu
0.160 0.320 0.288 K
0.840 0.680 0.712 K
0.894 0.788 0.203 Se
0.106 0.212 0.797 Se
```

=====

KCuSiSe3 | PBE-GGA | relaxed

```
KCuSiSe3
1.0
7.393 -1.810 0.000
7.393 1.810 0.000
0.000 0.000 10.254
Cu K Se Si
2 2 6 2
Direct
0.441 0.441 0.250 Cu
0.559 0.559 0.750 Cu
0.742 0.742 0.250 K
0.258 0.258 0.750 K
0.382 0.382 0.034 Se
0.050 0.050 0.250 Se
0.382 0.382 0.466 Se
0.618 0.618 0.534 Se
0.950 0.950 0.750 Se
0.618 0.618 0.966 Se
0.000 0.000 0.000 Si
0.000 0.000 0.500 Si
```

energy above the most stable polymorph in this dataset: 0.087 eV per atom

=====

Number 1: DFT total energy -4.7231 eV/atom, density 4.1 g cm⁻³, volume 25.70 Å³/atom. Number 2: DFT total energy -5.3252 eV/atom, density 4.5 g cm⁻³, volume 24.08 Å³/atom. Number 3: DFT total energy -3.2954 eV/atom, density 3.5 g cm⁻³, volume 28.52 Å³/atom. Number 4: DFT total energy -3.8819 eV/atom, density 4.4 g cm⁻³, volume 22.87 Å³/atom.